(1)
ErMgInRh | GGA-PBE | relaxed

The value obtained for the energy relative to the elements is -0.440 eV/atom.

The structure belongs to space group F-43m (No. 216); the cell edges are 6.8916, 6.8916 and 6.8916 Å and the angles 90.00°, 90.00° and 90.00°. The asymmetric unit holds Er at (0.0000, 0.0000, 0.0000), Mg at (0.0000, 0.0000, 0.5000), In at (0.2500, 0.2500, 0.7500) and Rh at (0.2500, 0.2500, 0.2500).

(2)
Er3MgIn3Ru2 | GGA-PBE | relaxed

The value obtained for the energy relative to the elements is -0.315 eV/atom.

The structure belongs to space group P-62m (No. 189); the cell edges are 7.9121, 7.9121 and 3.6415 Å and the angles 90.00°, 90.00° and 120.00°. The asymmetric unit holds Er at (0.0000, 0.5956, 0.0000), Mg at (0.0000, 0.0000, 0.0000), In at (0.0000, 0.2824, 0.5000) and Ru at (0.3333, 0.6667, 0.5000).

(3)
ErMgSc2In4 | GGA-PBE | relaxed

The value obtained for the energy relative to the elements is -0.331 eV/atom.

The structure belongs to space group R-3m (No. 166, hexagonal axes); the cell edges are 5.0711, 5.0711 and 25.4543 Å and the angles 90.00°, 90.00° and 120.00°. The asymmetric unit holds Er at (0.0000, 0.0000, 0.0000), Mg at (0.0000, 0.0000, 0.5000), Sc at (0.0000, 0.0000, 0.2464), In at (0.0000, 0.0000, 0.1256) and In at (0.0000, 0.0000, 0.3774).

(4)
SmEr2Mg2In2 | GGA-PBE | relaxed

The value obtained for the energy relative to the elements is -0.229 eV/atom.

The structure belongs to space group R-3m (No. 166, hexagonal axes); the cell edges are 5.0002, 5.0002 and 26.1400 Å and the angles 90.00°, 90.00° and 120.00°. The asymmetric unit holds Sm at (0.0000, 0.0000, 0.0000), Er at (0.0000, 0.0000, 0.1304), Mg at (0.0000, 0.0000, 0.4046) and In at (0.0000, 0.0000, 0.2606).

Among the records above, which one has the highest energy relative to the elements?
SmEr2Mg2In2

The lowest energy relative to the elements belongs to which entry?
ErMgInRh

Number 4 is which compound?
SmEr2Mg2In2